# 1
! CdFeIr2 (PBE, relaxed); values from VASP
&SYSTEM
  ibrav = 0, nat = 4, ntyp = 3
/
ATOMIC_SPECIES
Cd 112.41 Cd.upf
Fe 55.84 Fe.upf
Ir 192.22 Ir.upf
CELL_PARAMETERS angstrom
4.594 -1.400 0.000
4.594 1.400 0.000
-0.869 0.000 4.782
ATOMIC_POSITIONS crystal
Cd 0.000 0.000 0.000
Fe 0.760 0.760 0.261
Ir 0.240 0.240 0.708
Ir 0.501 0.501 0.497
! Formation energy ... 0.21 eV per atom
! SG ... Cm (8)
! Total magnetization ... 2.84 μB/f.u.

# 2
! TcOs (PBE, relaxed); values from VASP
&SYSTEM
  ibrav = 0, nat = 8, ntyp = 2
/
ATOMIC_SPECIES
Tc 98.00 Tc.upf
Os 190.23 Os.upf
CELL_PARAMETERS angstrom
4.783 0.000 0.000
0.000 4.353 0.000
0.000 0.000 5.531
ATOMIC_POSITIONS crystal
Tc 0.084 0.250 0.123
Tc 0.416 0.750 0.623
Tc 0.584 0.250 0.377
Tc 0.916 0.750 0.877
Os 0.082 0.250 0.626
Os 0.418 0.750 0.126
Os 0.582 0.250 0.874
Os 0.918 0.750 0.374
! Formation energy ... -0.08 eV per atom
! Energy relative to the lowest polymorph listed for this composition ... 6 meV per atom
! SG ... Pnma (62)
! Total magnetization ... 0.00 μB/f.u.

# 3
! MnCr2Ru (PBE, relaxed); values from VASP
&SYSTEM
  ibrav = 0, nat = 4, ntyp = 3
/
ATOMIC_SPECIES
Mn 54.94 Mn.upf
Cr 52.00 Cr.upf
Ru 101.07 Ru.upf
CELL_PARAMETERS angstrom
4.280 -1.307 0.000
4.280 1.307 0.000
-0.787 0.000 4.390
ATOMIC_POSITIONS crystal
Mn 0.000 0.000 0.000
Cr 0.255 0.255 0.764
Cr 0.499 0.499 0.507
Ru 0.745 0.745 0.257
! Formation energy ... 0.18 eV per atom
! Energy relative to the lowest polymorph listed for this composition ... 113 meV per atom
! SG ... Cm (8)
! Total magnetization ... 0.42 μB/f.u.

# 4
! Mn2CuOs (PBE, relaxed); values from VASP
&SYSTEM
  ibrav = 0, nat = 4, ntyp = 3
/
ATOMIC_SPECIES
Mn 54.94 Mn.upf
Cu 63.55 Cu.upf
Os 190.23 Os.upf
CELL_PARAMETERS angstrom
2.659 0.000 0.000
0.000 3.631 0.000
-0.012 0.000 5.160
ATOMIC_POSITIONS crystal
Mn 0.000 0.000 0.249
Mn 0.000 0.000 0.751
Cu 0.500 0.500 0.500
Os 0.500 0.500 0.000
! Formation energy ... 0.18 eV per atom
! SG ... P2/m (10)
! Total magnetization ... 3.26 μB/f.u.

# 5
! TaAgTe2 (PBE, relaxed); values from VASP
&SYSTEM
  ibrav = 0, nat = 4, ntyp = 3
/
ATOMIC_SPECIES
Ta 180.95 Ta.upf
Ag 107.87 Ag.upf
Te 127.60 Te.upf
CELL_PARAMETERS angstrom
1.825 1.054 9.178
-1.825 1.054 9.178
0.000 -2.107 9.178
ATOMIC_POSITIONS crystal
Ta 0.000 0.000 0.000
Ag 0.500 0.500 0.500
Te 0.400 0.400 0.400
Te 0.600 0.600 0.600
! Raw formation energy ... -60 meV per atom
! SG ... R-3m (166)
! Total magnetization ... 0.00 μB/f.u.

# 6
! AcPdS2 (PBE, relaxed); values from VASP
&SYSTEM
  ibrav = 0, nat = 4, ntyp = 3
/
ATOMIC_SPECIES
Ac 227.00 Ac.upf
Pd 106.42 Pd.upf
S 32.06 S.upf
CELL_PARAMETERS angstrom
2.848 -2.846 0.000
2.848 2.846 0.000
-2.834 0.000 5.551
ATOMIC_POSITIONS crystal
Ac 0.000 0.000 0.000
Pd 0.251 0.749 0.500
S 0.367 0.367 0.736
S 0.633 0.633 0.264
! Energy relative to the lowest polymorph listed for this composition ... 67 meV per atom
! Raw formation energy ... -1204 meV per atom
! SG ... C2 (5)
! Total magnetization ... 0.00 μB/f.u.

Question: Which value of total magnetization does entry 5 give?
Answer: 0.00 μB/f.u.